1 | # Hf3TeSe (PBE, optimized geometry)
data_Hf3TeSe
_chemical_formula_sum 'Hf3 Te1 Se1'
_cell_length_a 4.966
_cell_length_b 4.966
_cell_length_c 4.966
_cell_angle_alpha 90.00
_cell_angle_beta 90.00
_cell_angle_gamma 90.00
_space_group_name_H-M_alt 'P 1'
_space_group_IT_number 1
loop_
_space_group_symop_operation_xyz
'x,y,z'
loop_
_atom_site_label
_atom_site_type_symbol
_atom_site_fract_x
_atom_site_fract_y
_atom_site_fract_z
_atom_site_occupancy
Hf1 Hf 0.500 0.000 0.000 1
Hf2 Hf 0.000 0.500 0.000 1
Hf3 Hf 0.000 0.000 0.500 1
Se1 Se 0.000 0.000 0.000 1
Te1 Te 0.500 0.500 0.500 1
# - Symmetry: Pm-3m, No. 221

2 | # Hf3TeSe (PBE, optimized geometry)
data_Hf3TeSe
_chemical_formula_sum 'Hf12 Te4 Se4'
_cell_length_a 5.789
_cell_length_b 8.953
_cell_length_c 8.953
_cell_angle_alpha 89.85
_cell_angle_beta 92.33
_cell_angle_gamma 92.33
_space_group_name_H-M_alt 'P 1'
_space_group_IT_number 1
loop_
_space_group_symop_operation_xyz
'x,y,z'
loop_
_atom_site_label
_atom_site_type_symbol
_atom_site_fract_x
_atom_site_fract_y
_atom_site_fract_z
_atom_site_occupancy
Se1 Se 0.250 0.775 0.225 1
Se2 Se 0.750 0.225 0.775 1
Se3 Se 0.250 0.070 0.930 1
Se4 Se 0.750 0.930 0.070 1
Hf1 Hf 0.624 0.213 0.080 1
Hf2 Hf 0.057 0.834 0.494 1
Hf3 Hf 0.609 0.954 0.346 1
Hf4 Hf 0.943 0.166 0.506 1
Hf5 Hf 0.876 0.920 0.787 1
Hf6 Hf 0.443 0.506 0.166 1
Hf7 Hf 0.557 0.494 0.834 1
Hf8 Hf 0.109 0.346 0.954 1
Hf9 Hf 0.891 0.654 0.046 1
Hf10 Hf 0.391 0.046 0.654 1
Hf11 Hf 0.124 0.080 0.213 1
Hf12 Hf 0.376 0.787 0.920 1
Te1 Te 0.445 0.265 0.413 1
Te2 Te 0.945 0.413 0.265 1
Te3 Te 0.055 0.587 0.735 1
Te4 Te 0.555 0.735 0.587 1
# - Symmetry: C2/c, No. 15

Quick one: least stable of them? 1

1 | # Hf2TeSe (PBE, optimized geometry)
data_Hf2TeSe
_chemical_formula_sum 'Hf2 Te1 Se1'
_cell_length_a 4.867
_cell_length_b 4.867
_cell_length_c 4.867
_cell_angle_alpha 60.00
_cell_angle_beta 60.00
_cell_angle_gamma 60.00
_space_group_name_H-M_alt 'P 1'
_space_group_IT_number 1
loop_
_space_group_symop_operation_xyz
'x,y,z'
loop_
_atom_site_label
_atom_site_type_symbol
_atom_site_fract_x
_atom_site_fract_y
_atom_site_fract_z
_atom_site_occupancy
Hf1 Hf 0.750 0.750 0.750 1
Hf2 Hf 0.250 0.250 0.250 1
Te1 Te 0.500 0.500 0.500 1
Se1 Se 0.000 0.000 0.000 1
# - Symmetry: Fm-3m, No. 225

2 | # Hf2TeSe (PBE, optimized geometry)
data_Hf2TeSe
_chemical_formula_sum 'Hf4 Te2 Se2'
_cell_length_a 5.222
_cell_length_b 5.222
_cell_length_c 8.948
_cell_angle_alpha 73.03
_cell_angle_beta 73.03
_cell_angle_gamma 90.00
_space_group_name_H-M_alt 'P 1'
_space_group_IT_number 1
loop_
_space_group_symop_operation_xyz
'x,y,z'
loop_
_atom_site_label
_atom_site_type_symbol
_atom_site_fract_x
_atom_site_fract_y
_atom_site_fract_z
_atom_site_occupancy
Se1 Se 0.500 0.500 0.000 1
Se2 Se 0.250 0.750 0.500 1
Hf1 Hf 0.375 0.433 0.750 1
Hf2 Hf 0.567 0.125 0.250 1
Hf3 Hf 0.875 0.817 0.750 1
Hf4 Hf 0.183 0.625 0.250 1
Te1 Te 0.750 0.250 0.500 1
Te2 Te 0.000 0.000 0.000 1
# - Symmetry: I-42d, No. 122

Quick one: least stable of them? 2

1 | # Hf2TeSe2 (PBE, optimized geometry)
data_Hf2TeSe2
_chemical_formula_sum 'Hf2 Te1 Se2'
_cell_length_a 3.800
_cell_length_b 5.272
_cell_length_c 6.901
_cell_angle_alpha 112.45
_cell_angle_beta 105.98
_cell_angle_gamma 90.00
_space_group_name_H-M_alt 'P 1'
_space_group_IT_number 1
loop_
_space_group_symop_operation_xyz
'x,y,z'
loop_
_atom_site_label
_atom_site_type_symbol
_atom_site_fract_x
_atom_site_fract_y
_atom_site_fract_z
_atom_site_occupancy
Hf1 Hf 0.318 0.818 0.635 1
Hf2 Hf 0.682 0.182 0.365 1
Se1 Se 0.659 0.659 0.318 1
Se2 Se 0.341 0.341 0.682 1
Te1 Te 0.000 0.000 0.000 1
# - Symmetry: Immm, No. 71

2 | # Hf2TeSe2 (PBE, optimized geometry)
data_Hf2TeSe2
_chemical_formula_sum 'Hf4 Te2 Se4'
_cell_length_a 7.725
_cell_length_b 7.725
_cell_length_c 3.574
_cell_angle_alpha 90.00
_cell_angle_beta 90.00
_cell_angle_gamma 90.00
_space_group_name_H-M_alt 'P 1'
_space_group_IT_number 1
loop_
_space_group_symop_operation_xyz
'x,y,z'
loop_
_atom_site_label
_atom_site_type_symbol
_atom_site_fract_x
_atom_site_fract_y
_atom_site_fract_z
_atom_site_occupancy
Hf1 Hf 0.858 0.642 0.000 1
Hf2 Hf 0.642 0.142 0.000 1
Hf3 Hf 0.358 0.858 0.000 1
Hf4 Hf 0.142 0.358 0.000 1
Se1 Se 0.139 0.639 0.500 1
Se2 Se 0.861 0.361 0.500 1
Se3 Se 0.361 0.139 0.500 1
Se4 Se 0.639 0.861 0.500 1
Te1 Te 0.500 0.500 0.000 1
Te2 Te 0.000 0.000 0.000 1
# - Symmetry: P4/mbm, No. 127

Quick one: least stable of them? 2